(1)
LiVPO4 | GGA+U | relaxed

Calculated values
crystal system: orthorhombic
energy relative to the lowest polymorph listed for this composition: 0.022 eV/atom

Cell lengths 9.369, 6.405, 4.963 Å; angles 90.00, 90.00, 90.00 degrees
Space group Pnma (No. 62)
One atom of each set of equivalent atoms:
Li 0.168 0.250 0.015 [4 per cell]
V 0.000 0.000 0.500 [4 per cell]
P 0.179 0.750 0.013 [4 per cell]
O 0.122 0.550 0.144 [8 per cell]
O 0.137 0.750 0.705 [4 per cell]
O 0.154 0.250 0.562 [4 per cell]


(2)
LiVPO5 | GGA+U | relaxed

Calculated values
crystal system: monoclinic
energy relative to the lowest polymorph listed for this composition: 0.074 eV/atom

Cell lengths 6.223, 5.352, 8.834 Å; angles 90.00, 134.70, 90.00 degrees
Space group Pc (No. 7)
One atom of each set of equivalent atoms:
Li 0.000 0.051 0.000 [2 per cell]
V 0.621 0.250 0.135 [2 per cell]
P 0.121 0.490 0.637 [2 per cell]
O 0.274 0.324 0.831 [2 per cell]
O 0.338 0.325 0.164 [2 per cell]
O 0.650 0.056 0.662 [2 per cell]
O 0.879 0.333 0.086 [2 per cell]
O 0.972 0.311 0.447 [2 per cell]


The E_tot results, record by record, are as follows: -7.1399 -7.0956 eV per atom.
The mass density results, record by record, are as follows: 3.41 2.68 g/cm3.